1.
## LiTcBr2 (PBE-GGA)

Data for an optimized crystal structure of LiTcBr2.

ΔE_f (raw) ... 0.0522 eV per atom
Size of the total moment ... 4.01 μB/f.u.
N(E_F) ... 1.37 states/eV per cell
Energy above the lowest structure with this stoichiometry ... 0.157 eV/atom

Lattice parameters (Å, degrees): 3.449 3.448 7.060 90.00 90.00 90.00
Each line ends with the local moment (μB).
Fractional coordinates of all 4 atoms:
Br  0.000  0.000  0.496  0.11
Br  0.000  0.000  0.004  0.11
Li  0.500  0.500  0.250  0.01
Tc  0.500  0.500  0.750  3.28


2.
## NaAlGeO4 (PBE-GGA)

Data for an optimized crystal structure of NaAlGeO4.

ΔE_f (raw) ... -2.1689 eV per atom
Size of the total moment ... 0.00 μB/f.u.
N(E_F) ... 0.00 states/eV per cell
Energy above the lowest structure with this stoichiometry ... 0.076 eV/atom

Lattice parameters (Å, degrees): 2.878 8.970 10.477 90.00 90.00 90.00
Fractional coordinates of all 28 atoms:
O  0.500  0.920  0.675
O  0.500  0.620  0.733
O  0.500  0.120  0.267
O  0.500  0.529  0.965
O  0.000  0.392  0.765
O  0.000  0.976  0.465
O  0.000  0.071  0.821
O  0.000  0.571  0.179
O  0.000  0.476  0.535
O  0.000  0.892  0.235
O  0.500  0.700  0.397
O  0.000  0.297  0.099
O  0.500  0.420  0.325
O  0.500  0.200  0.603
O  0.000  0.797  0.901
O  0.500  0.029  0.035
Al  0.500  0.436  0.138
Al  0.500  0.921  0.352
Al  0.500  0.421  0.648
Al  0.500  0.936  0.862
Na  0.000  0.240  0.410
Na  0.000  0.740  0.590
Na  0.500  0.257  0.900
Na  0.500  0.757  0.100
Ge  0.000  0.086  0.148
Ge  0.000  0.556  0.362
Ge  0.000  0.056  0.638
Ge  0.000  0.586  0.852


3.
## MgScZnSn (PBE-GGA)

Data for an optimized crystal structure of MgScZnSn.

ΔE_f ... -0.97 eV per formula unit
Size of the total moment ... 0.00 μB/f.u.
N(E_F) ... 2.64 states/eV per cell
Energy above the lowest structure with this stoichiometry ... 0.146 eV/atom

Lattice parameters (Å, degrees): 4.898 4.898 4.898 60.00 60.00 60.00
Fractional coordinates of all 4 atoms:
Zn  0.750  0.750  0.750
Sc  0.000  0.000  0.000
Sn  0.250  0.250  0.250
Mg  0.500  0.500  0.500


4.
## PmGePt3 (PBE-GGA)

Data for an optimized crystal structure of PmGePt3.

ΔE_f ... -4.57 eV per formula unit
Size of the total moment ... 0.00 μB/f.u.
N(E_F) ... 2.43 states/eV per cell
Energy above the lowest structure with this stoichiometry ... 0.000 eV/atom

Lattice parameters (Å, degrees): 4.100 4.101 6.364 71.20 71.21 90.04
Fractional coordinates of all 5 atoms:
Pm  0.391  0.195  0.923
Ge  0.019  0.823  0.666
Pt  0.644  0.947  0.417
Pt  0.144  0.448  0.417
Pt  0.809  0.612  0.087


5.
## BaTbS2 (PBE-GGA)

Data for an optimized crystal structure of BaTbS2.

ΔE_f (raw) ... -1.9471 eV per atom
Size of the total moment ... 0.00 μB/f.u.
N(E_F) ... 2.14 states/eV per cell
Energy above the lowest structure with this stoichiometry ... 0.068 eV/atom

Lattice parameters (Å, degrees): 4.066 4.066 7.790 74.87 74.87 60.00
Fractional coordinates of all 4 atoms:
Tb  0.669  0.669  0.992
Ba  0.496  0.496  0.512
S  0.070  0.070  0.790
S  0.264  0.264  0.207


6.
## Mg8TlRh2 (PBE-GGA)

Data for an optimized crystal structure of Mg8TlRh2.

ΔE_f ... -2.42 eV per formula unit
Size of the total moment ... 0.00 μB/f.u.
N(E_F) ... 2.87 states/eV per cell
Energy above the lowest structure with this stoichiometry ... 0.000 eV/atom

Lattice parameters (Å, degrees): 4.963 7.200 7.200 111.07 96.56 96.56
Fractional coordinates of all 11 atoms:
Rh  0.000  0.676  0.324
Rh  0.000  0.324  0.676
Mg  0.076  0.054  0.327
Mg  0.924  0.673  0.946
Mg  0.924  0.946  0.673
Mg  0.076  0.327  0.054
Mg  0.693  0.379  0.379
Mg  0.307  0.621  0.621
Mg  0.500  0.743  0.257
Mg  0.500  0.257  0.743
Tl  0.500  0.000  0.000


7.
## MgNbBi3 (PBE-GGA)

Data for an optimized crystal structure of MgNbBi3.

ΔE_f ... 2.16 eV per formula unit
Size of the total moment ... 0.00 μB/f.u.
N(E_F) ... 5.37 states/eV per cell
Energy above the lowest structure with this stoichiometry ... 0.000 eV/atom

Lattice parameters (Å, degrees): 5.529 5.529 5.529 90.00 90.00 90.00
Fractional coordinates of all 5 atoms:
Bi  0.000  0.500  0.000
Bi  0.500  0.000  0.000
Bi  0.000  0.000  0.500
Mg  0.500  0.500  0.500
Nb  0.000  0.000  0.000


8.
## RbCd3Sn (PBE-GGA)

Data for an optimized crystal structure of RbCd3Sn.

ΔE_f ... -0.53 eV per formula unit
Size of the total moment ... 0.00 μB/f.u.
N(E_F) ... 3.29 states/eV per cell
Energy above the lowest structure with this stoichiometry ... 0.000 eV/atom

Lattice parameters (Å, degrees): 6.956 6.955 7.231 90.00 90.00 116.85
Fractional coordinates of all 10 atoms:
Cd  0.001  0.451  0.951
Cd  0.618  0.284  0.201
Cd  0.450  0.901  0.950
Cd  0.450  0.901  0.451
Cd  0.833  0.069  0.701
Cd  0.001  0.451  0.451
Sn  0.080  0.821  0.701
Sn  0.371  0.532  0.201
Rb  0.489  0.413  0.701
Rb  0.962  0.940  0.201


The lowest N(E_F) belongs to which entry?
NaAlGeO4


Which value of size of the total moment does entry 3 give?
0.00 μB/f.u.


Which value of energy above the lowest structure with this stoichiometry does entry 1 give?
0.157 eV/atom